Density functional theory data (GGA-PBEsol) for crystalline Os2WSe at its relaxed geometry.

Cell: 3.9695 3.9695 4.7191 Å, 114.87 114.87 90.00°
Last column: nearest neighbours and their distance in Å.
Positions (direct):
Os (0.7500, 0.2500, 0.5000)  4 W 2.75, 4 Se 2.75, 4 Os 2.81
Os (0.2500, 0.7500, 0.5000)  4 W 2.75, 4 Se 2.75, 4 Os 2.81
Se (0.5000, 0.5000, 0.0000)  8 Os 2.75, 4 W 2.81
W (0.0000, 0.0000, 0.0000)  8 Os 2.75, 4 Se 2.81

Summary:
volume = 59.8 Å³/cell
total energy = -9.792 eV/atom
space-group type = No. 139
total moment = 0.0 μB/f.u.
density of states at the Fermi level = 4.09 states/eV/cell



Density functional theory data (GGA-PBEsol) for crystalline Y2OsSe at its relaxed geometry.

Cell: 4.0096 4.0096 5.7096 Å, 90.00 90.00 90.00°
Last column: nearest neighbours and their distance in Å.
Positions (direct):
Os (0.0000, 0.0000, 0.3769)  5 Y 2.60-2.84
Se (0.5000, 0.5000, 0.8511)  6 Y 2.85-2.86
Y (0.0000, 0.0000, 0.9209)  1 Os 2.60, 4 Se 2.86
Y (0.5000, 0.5000, 0.3511)  4 Os 2.84, 2 Se 2.85-2.86

Summary:
volume = 91.8 Å³/cell
space-group type = No. 99
total moment = 0.0 μB/f.u.
ΔE to the lowest computed polymorph = 15.9 kJ per mole of atoms
density of states at the Fermi level = 1.02 states/eV/cell



Density functional theory data (GGA-PBEsol) for crystalline YOsSe2 at its relaxed geometry.

Cell: 4.7537 4.7537 4.7537 Å, 60.00 60.00 60.00°
Last column: nearest neighbours and their distance in Å.
Positions (direct):
Os (0.5000, 0.5000, 0.5000)  4 Se 2.91, 4 Y 2.91
Se (0.0000, 0.0000, 0.0000)  4 Y 2.91, 4 Se 2.91
Se (0.7500, 0.7500, 0.7500)  4 Se 2.91, 4 Os 2.91
Y (0.2500, 0.2500, 0.2500)  4 Se 2.91, 4 Os 2.91

Summary:
volume = 76.0 Å³/cell
space-group type = No. 216
total moment = 1.0 μB/f.u.
ΔE to the lowest computed polymorph = 67.6 kJ per mole of atoms
density of states at the Fermi level = 3.75 states/eV/cell



Density functional theory data (GGA-PBEsol) for crystalline YOs2Se at its relaxed geometry.

Cell: 2.9166 2.9166 9.3065 Å, 80.98 80.98 60.00°
Last column: nearest neighbours and their distance in Å.
Positions (direct):
Os (0.0100, 0.0100, 0.9701)  9 Os 2.63-2.92
Os (0.7500, 0.7500, 0.7499)  9 Os 2.63-2.92, 3 Se 2.64
Se (0.4907, 0.4907, 0.5280)  3 Os 2.64, 6 Se 2.92
Y (0.2493, 0.2493, 0.2521)  6 Y 2.92, 3 Se 3.04, 3 Os 3.08

Summary:
volume = 67.4 Å³/cell
total energy = -8.384 eV/atom
space-group type = No. 160
total moment = 0.0 μB/f.u.
density of states at the Fermi level = 3.41 states/eV/cell



Density functional theory data (GGA-PBEsol) for crystalline Y2OsSe at its relaxed geometry.

Cell: 4.8787 4.8873 4.8873 Å, 60.08 60.06 60.06°
Last column: nearest neighbours and their distance in Å.
Positions (direct):
Os (0.0000, 0.5000, 0.5000)  8 Y 2.99-3.00
Se (0.5000, 0.0000, 0.0000)  8 Y 2.99
Y (0.2501, 0.7499, 0.7499)  4 Os 2.99-3.00, 4 Se 2.99
Y (0.7499, 0.2501, 0.2501)  4 Os 2.99-3.00, 4 Se 2.99

Summary:
volume = 82.5 Å³/cell
space-group type = No. 71
total moment = 0.0 μB/f.u.
ΔE to the lowest computed polymorph = 30.2 kJ per mole of atoms
density of states at the Fermi level = 2.19 states/eV/cell



Density functional theory data (GGA-PBEsol) for crystalline YOsSe2 at its relaxed geometry.

Cell: 3.3065 3.3065 7.6779 Å, 90.00 90.00 90.00°
Last column: nearest neighbours and their distance in Å.
Positions (direct):
Os (0.5000, 0.5000, 0.7873)  4 Se 2.55
Se (0.0000, 0.0000, 0.9192)  4 Os 2.55
Se (0.5000, 0.5000, 0.2997)  4 Y 2.77
Y (0.0000, 0.0000, 0.4938)  4 Se 2.77

Summary:
volume = 83.9 Å³/cell
space-group type = No. 99
total moment = 0.0 μB/f.u.
ΔE to the lowest computed polymorph = 9.9 kJ per mole of atoms
density of states at the Fermi level = 1.84 states/eV/cell



Density functional theory data (GGA-PBEsol) for crystalline Y2OsSe at its relaxed geometry.

Cell: 3.5910 4.5025 5.5084 Å, 90.00 109.02 90.00°
Last column: nearest neighbours and their distance in Å.
Positions (direct):
Os (0.5317, 0.0000, 0.0635)  7 Y 2.75-3.04, 2 Se 2.93
Se (0.7123, 0.5000, 0.4245)  7 Y 2.88-2.94, 2 Os 2.93
Y (0.9887, 0.5000, 0.9774)  3 Se 2.88-2.94, 4 Os 2.91
Y (0.2673, 0.0000, 0.5346)  3 Os 2.75-3.04, 4 Se 2.94

Summary:
volume = 84.2 Å³/cell
space-group type = No. 38
total moment = 0.0 μB/f.u.
ΔE to the lowest computed polymorph = 0.0 kJ per mole of atoms
density of states at the Fermi level = 0.51 states/eV/cell



Density functional theory data (GGA-PBEsol) for crystalline YOsSe2 at its relaxed geometry.

Cell: 3.2932 4.3590 5.8711 Å, 111.79 106.29 90.00°
Last column: nearest neighbours and their distance in Å.
Positions (direct):
Os (0.2794, 0.7794, 0.5588)  2 Se 2.47
Se (0.9566, 0.9566, 0.9132)  2 Os 2.47
Se (0.7367, 0.2367, 0.4735)  4 Os 2.77, 2 Y 3.08
Y (0.5273, 0.5273, 0.0545)  6 Se 2.83-3.08, 2 Os 3.10

Summary:
volume = 74.6 Å³/cell
space-group type = No. 44
total moment = 0.0 μB/f.u.
ΔE to the lowest computed polymorph = 5.9 kJ per mole of atoms
density of states at the Fermi level = 1.76 states/eV/cell